# 1
The following is a PBE calculation of a relaxed structure of Sm2ScBr, from Alexandria.

Geometry as CIF:
```
data_Sm2ScBr
_chemical_formula_sum 'Sm6 Sc3 Br3'
_symmetry_space_group_name_H-M 'R -3 m'
_symmetry_Int_Tables_number 166
_symmetry_space_group_name_Hall '-R 3 2"'
_cell_length_a 3.4518
_cell_length_b 3.4518
_cell_length_c 33.8140
_cell_angle_alpha 90.00
_cell_angle_beta 90.00
_cell_angle_gamma 120.00
loop_
_atom_site_label
_atom_site_fract_x
_atom_site_fract_y
_atom_site_fract_z
Sm1 0.0000 0.0000 0.0952
Sc1 0.0000 0.0000 0.0000
Br1 0.0000 0.0000 0.5000
```

E_tot, eV per atom: -4.60
Formation energy from raw total energies, meV/atom: -244
Relative energy among the computed polymorphs, eV per formula unit: 0.78
Volume, Å³ per atom: 29.077



# 2
The following is a PBE calculation of a relaxed structure of ScSnBr2, from Alexandria.

Geometry as CIF:
```
data_ScSnBr2
_chemical_formula_sum 'Sc4 Sn4 Br8'
_symmetry_space_group_name_H-M 'F m -3 m'
_symmetry_Int_Tables_number 225
_symmetry_space_group_name_Hall '-F 4 2 3'
_cell_length_a 7.328
_cell_length_b 7.328
_cell_length_c 7.328
_cell_angle_alpha 90.00
_cell_angle_beta 90.00
_cell_angle_gamma 90.00
loop_
_atom_site_label
_atom_site_fract_x
_atom_site_fract_y
_atom_site_fract_z
Sc1 0.000 0.000 0.000
Sn1 0.000 0.000 0.500
Br1 0.250 0.250 0.250
```

E_tot, eV per atom: -3.76
Formation energy from raw total energies, meV/atom: -342
Relative energy among the computed polymorphs, eV per formula unit: 2.30
Volume, Å³ per atom: 24.598



# 3
The following is a PBE calculation of a relaxed structure of ScSn2Br2, from Alexandria.

Geometry as CIF:
```
data_ScSn2Br2
_chemical_formula_sum 'Sc1 Sn2 Br2'
_symmetry_space_group_name_H-M 'P 4/m m m'
_symmetry_Int_Tables_number 123
_symmetry_space_group_name_Hall '-P 4 2'
_cell_length_a 5.403
_cell_length_b 5.403
_cell_length_c 6.350
_cell_angle_alpha 90.00
_cell_angle_beta 90.00
_cell_angle_gamma 90.00
loop_
_atom_site_label
_atom_site_fract_x
_atom_site_fract_y
_atom_site_fract_z
Sc1 0.000 0.000 0.000
Sn1 0.000 0.500 0.500
Br1 0.500 0.500 0.000
Br2 0.500 0.500 0.500
```

E_tot, eV per atom: -3.03
Formation energy from raw total energies, meV/atom: 507
Volume, Å³ per atom: 37.074



# 4
The following is a PBE calculation of a relaxed structure of ScSn3Br, from Alexandria.

Geometry as CIF:
```
data_ScSn3Br
_chemical_formula_sum 'Sc1 Sn3 Br1'
_symmetry_space_group_name_H-M 'P m -3 m'
_symmetry_Int_Tables_number 221
_symmetry_space_group_name_Hall '-P 4 2 3'
_cell_length_a 5.474
_cell_length_b 5.474
_cell_length_c 5.474
_cell_angle_alpha 90.00
_cell_angle_beta 90.00
_cell_angle_gamma 90.00
loop_
_atom_site_label
_atom_site_fract_x
_atom_site_fract_y
_atom_site_fract_z
Sc1 0.000 0.000 0.000
Sn1 0.000 0.500 0.500
Br1 0.500 0.500 0.500
```

E_tot, eV per atom: -3.45
Formation energy from raw total energies, meV/atom: 553
Relative energy among the computed polymorphs, eV per formula unit: 1.53
Volume, Å³ per atom: 32.807



# 5
The following is a PBE calculation of a relaxed structure of ScSn3Br, from Alexandria.

Geometry as CIF:
```
data_ScSn3Br
_chemical_formula_sum 'Sc1 Sn3 Br1'
_symmetry_space_group_name_H-M 'P m -3 m'
_symmetry_Int_Tables_number 221
_symmetry_space_group_name_Hall '-P 4 2 3'
_cell_length_a 5.637
_cell_length_b 5.637
_cell_length_c 5.637
_cell_angle_alpha 90.00
_cell_angle_beta 90.00
_cell_angle_gamma 90.00
loop_
_atom_site_label
_atom_site_fract_x
_atom_site_fract_y
_atom_site_fract_z
Sc1 0.000 0.000 0.000
Sn1 0.000 0.000 0.500
Br1 0.500 0.500 0.500
```

E_tot, eV per atom: -3.76
Formation energy from raw total energies, meV/atom: 247
Relative energy among the computed polymorphs, eV per formula unit: 0.00
Volume, Å³ per atom: 35.827



# 6
The following is a PBE calculation of a relaxed structure of ScSnBr2, from Alexandria.

Geometry as CIF:
```
data_ScSnBr2
_chemical_formula_sum 'Sc3 Sn3 Br6'
_symmetry_space_group_name_H-M 'R -3 m'
_symmetry_Int_Tables_number 166
_symmetry_space_group_name_Hall '-R 3 2"'
_cell_length_a 3.5551
_cell_length_b 3.5551
_cell_length_c 32.4269
_cell_angle_alpha 90.00
_cell_angle_beta 90.00
_cell_angle_gamma 120.00
loop_
_atom_site_label
_atom_site_fract_x
_atom_site_fract_y
_atom_site_fract_z
Sc1 0.0000 0.0000 0.0000
Sn1 0.0000 0.0000 0.5000
Br1 0.0000 0.0000 0.3876
```

E_tot, eV per atom: -4.34
Formation energy from raw total energies, meV/atom: -919
Relative energy among the computed polymorphs, eV per formula unit: 0.00
Volume, Å³ per atom: 29.578



# 7
The following is a PBE calculation of a relaxed structure of Sc3SnBr, from Alexandria.

Geometry as CIF:
```
data_Sc3SnBr
_chemical_formula_sum 'Sc3 Sn1 Br1'
_symmetry_space_group_name_H-M 'P m -3 m'
_symmetry_Int_Tables_number 221
_symmetry_space_group_name_Hall '-P 4 2 3'
_cell_length_a 4.962
_cell_length_b 4.962
_cell_length_c 4.962
_cell_angle_alpha 90.00
_cell_angle_beta 90.00
_cell_angle_gamma 90.00
loop_
_atom_site_label
_atom_site_fract_x
_atom_site_fract_y
_atom_site_fract_z
Sc1 0.000 0.000 0.500
Sn1 0.500 0.500 0.500
Br1 0.000 0.000 0.000
```

E_tot, eV per atom: -5.14
Formation energy from raw total energies, meV/atom: -205
Relative energy among the computed polymorphs, eV per formula unit: 0.00
Volume, Å³ per atom: 24.441



# 8
The following is a PBE calculation of a relaxed structure of Sc2Sn2Br, from Alexandria.

Geometry as CIF:
```
data_Sc2Sn2Br
_chemical_formula_sum 'Sc4 Sn4 Br2'
_symmetry_space_group_name_H-M 'P 4/m b m'
_symmetry_Int_Tables_number 127
_symmetry_space_group_name_Hall '-P 4 2ab'
_cell_length_a 7.661
_cell_length_b 7.661
_cell_length_c 4.187
_cell_angle_alpha 90.00
_cell_angle_beta 90.00
_cell_angle_gamma 90.00
loop_
_atom_site_label
_atom_site_fract_x
_atom_site_fract_y
_atom_site_fract_z
Sc1 0.172 0.328 0.000
Sn1 0.130 0.630 0.500
Br1 0.000 0.000 0.000
```

E_tot, eV per atom: -5.12
Formation energy from raw total energies, meV/atom: -647
Volume, Å³ per atom: 24.575